This record from the Alexandria database describes an optimized crystal structure of YCuTc. The functional is PBE.

Cell: 4.2700 4.2700 3.6405 Å, 90.00 90.00 120.00°
Space group P-6m2 (No. 187)
Unique sites:
Y1 0.0000 0.0000 0.0000 x1
Cu1 0.6667 0.3333 0.5000 x1
Tc1 0.3333 0.6667 0.5000 x1

Computed properties:
The total energy is -20.34 eV for the cell shown. Its energy above the lowest structure with this stoichiometry is 19.9 meV per atom. Its formation energy from the elements is 0.1966 eV per atom.

=====

This record from the Alexandria database describes an optimized crystal structure of YCuTc. The functional is PBE.

Cell: 3.3727 3.3727 9.6185 Å, 90.00 90.00 90.00°
Space group I4mm (No. 107)
Unique sites:
Y1 0.0000 0.0000 0.0000 x2
Cu1 0.0000 0.0000 0.6996 x2
Tc1 0.0000 0.0000 0.3040 x2

Computed properties:
The total energy is -40.79 eV for the cell shown. Its energy above the lowest structure with this stoichiometry is 0.0 meV per atom. Its formation energy from the elements is 0.1767 eV per atom.

=====

This record from the Alexandria database describes an optimized crystal structure of YCu2Tc. The functional is PBE.

Cell: 7.3751 4.2543 5.1892 Å, 90.00 118.07 90.00°
Space group C2/m (No. 12)
Unique sites:
Y1 0.0000 0.0000 0.0000 x2
Cu1 0.2045 0.0000 0.6142 x4
Tc1 0.0000 0.5000 0.5000 x2

Computed properties:
The total energy is -49.03 eV for the cell shown. Its energy above the lowest structure with this stoichiometry is 0.0 meV per atom. Its formation energy from the elements is 0.1274 eV per atom.

=====

This record from the Alexandria database describes an optimized crystal structure of YCu2Tc. The functional is PBE.

Cell: 5.7801 7.4671 2.9931 Å, 90.00 90.00 90.00°
Space group Cmmm (No. 65)
Unique sites:
Y1 0.0000 0.0000 0.0000 x2
Cu1 0.2500 0.2500 0.5000 x4
Tc1 0.0000 0.5000 0.0000 x2

Computed properties:
The total energy is -48.33 eV for the cell shown. Its energy above the lowest structure with this stoichiometry is 87.4 meV per atom. Its formation energy from the elements is 0.2149 eV per atom.

=====

This record from the Alexandria database describes an optimized crystal structure of Y4CuTc. The functional is PBE.

Cell: 8.4718 8.4718 8.4718 Å, 90.00 90.00 90.00°
Space group F-43m (No. 216)
Unique sites:
Y1 0.1240 0.1240 0.3760 x16
Cu1 0.0000 0.0000 0.0000 x4
Tc1 0.2500 0.2500 0.7500 x4

Computed properties:
The total energy is -137.90 eV for the cell shown. Its energy above the lowest structure with this stoichiometry is 1085.3 meV per atom. Its formation energy from the elements is 0.9737 eV per atom.

=====

This record from the Alexandria database describes an optimized crystal structure of Y2CuTc2. The functional is PBE.

Cell: 6.7965 6.7965 4.4036 Å, 90.00 90.00 90.00°
Space group P4/mbm (No. 127)
Unique sites:
Y1 0.1810 0.3190 0.0000 x4
Cu1 0.0000 0.0000 0.5000 x2
Tc1 0.1213 0.6213 0.5000 x4

Computed properties:
The total energy is -74.84 eV for the cell shown. Its formation energy from the elements is 0.0677 eV per atom.

=====

This record from the Alexandria database describes an optimized crystal structure of Y2CuTc. The functional is PBE.

Cell: 3.4578 3.4578 25.6814 Å, 90.00 90.00 120.00°
Space group R-3m (No. 166, hexagonal axes)
Unique sites:
Y1 0.0000 0.0000 0.2467 x6
Cu1 0.0000 0.0000 0.0000 x3
Tc1 0.0000 0.0000 0.5000 x3

Computed properties:
The total energy is -79.65 eV for the cell shown. Its formation energy from the elements is 0.2102 eV per atom.

=====

This record from the Alexandria database describes an optimized crystal structure of YCu4Tc. The functional is PBE.

Cell: 7.0665 7.0665 7.0665 Å, 90.00 90.00 90.00°
Space group F-43m (No. 216)
Unique sites:
Y1 0.0000 0.0000 0.0000 x4
Cu1 0.1237 0.1237 0.6237 x16
Tc1 0.2500 0.2500 0.2500 x4

Computed properties:
The total energy is -131.52 eV for the cell shown. Its formation energy from the elements is 0.0559 eV per atom.

=====

This record from the Alexandria database describes an optimized crystal structure of YCuTc. The functional is PBE.

Cell: 6.2556 6.2556 6.2556 Å, 90.00 90.00 90.00°
Space group F-43m (No. 216)
Unique sites:
Y1 0.0000 0.0000 0.0000 x4
Cu1 0.2500 0.2500 0.2500 x4
Tc1 0.0000 0.0000 0.5000 x4

Computed properties:
The total energy is -77.60 eV for the cell shown. Its energy above the lowest structure with this stoichiometry is 332.1 meV per atom. Its formation energy from the elements is 0.5088 eV per atom.

=====

This record from the Alexandria database describes an optimized crystal structure of Y6CuTc2. The functional is PBE.

Cell: 9.4669 9.6423 10.1563 Å, 90.00 90.00 90.00°
Space group Immm (No. 71)
Unique sites:
Y1 0.0000 0.2061 0.1828 x8
Y2 0.1854 0.2220 0.5000 x8
Y3 0.1993 0.5000 0.2689 x8
Cu1 0.0000 0.5000 0.0000 x2
Cu2 0.0000 0.5000 0.5000 x2
Tc1 0.0000 0.0000 0.3840 x4
Tc2 0.1303 0.0000 0.0000 x4

Computed properties:
The total energy is -256.23 eV for the cell shown. Its formation energy from the elements is -0.0494 eV per atom.

=====

This record from the Alexandria database describes an optimized crystal structure of YCu2Tc. The functional is PBE.

Cell: 3.9311 3.9311 8.5267 Å, 90.00 90.00 90.00°
Space group I-4m2 (No. 119)
Unique sites:
Y1 0.0000 0.0000 0.0000 x2
Cu1 0.0000 0.0000 0.5000 x2
Cu2 0.0000 0.5000 0.7500 x2
Tc1 0.0000 0.5000 0.2500 x2

Computed properties:
The total energy is -48.30 eV for the cell shown. Its energy above the lowest structure with this stoichiometry is 90.2 meV per atom. Its formation energy from the elements is 0.2177 eV per atom.

=====

This record from the Alexandria database describes an optimized crystal structure of YCu2Tc. The functional is PBE.

Cell: 9.9402 3.0061 4.7749 Å, 90.00 113.30 90.00°
Space group Cm (No. 8)
Unique sites:
Y1 0.0000 0.0000 0.0000 x2
Cu1 0.0191 0.5000 0.5013 x2
Cu2 0.2334 0.0000 0.7876 x2
Tc1 0.2760 0.5000 0.3481 x2

Computed properties:
The total energy is -48.18 eV for the cell shown. Its energy above the lowest structure with this stoichiometry is 105.3 meV per atom. Its formation energy from the elements is 0.2328 eV per atom.

=====

This record from the Alexandria database describes an optimized crystal structure of Y2CuTc. The functional is PBE.

Cell: 3.4254 3.4254 7.6416 Å, 90.00 90.00 90.00°
Space group P4mm (No. 99)
Unique sites:
Y1 0.0000 0.0000 0.0000 x1
Y2 0.5000 0.5000 0.4032 x1
Cu1 0.0000 0.0000 0.6297 x1
Tc1 0.5000 0.5000 0.7607 x1

Computed properties:
The total energy is -26.92 eV for the cell shown. Its formation energy from the elements is 0.1164 eV per atom.

=====

This record from the Alexandria database describes an optimized crystal structure of YCu2Tc. The functional is PBE.

Cell: 6.4402 6.4402 6.4402 Å, 90.00 90.00 90.00°
Space group Fm-3m (No. 225)
Unique sites:
Y1 0.0000 0.0000 0.0000 x4
Cu1 0.2500 0.2500 0.2500 x8
Tc1 0.0000 0.0000 0.5000 x4

Computed properties:
The total energy is -97.06 eV for the cell shown. Its energy above the lowest structure with this stoichiometry is 62.1 meV per atom. Its formation energy from the elements is 0.1895 eV per atom.

=====

This record from the Alexandria database describes an optimized crystal structure of YCuTc4. The functional is PBE.

Cell: 7.4224 7.4224 7.4224 Å, 90.00 90.00 90.00°
Space group F-43m (No. 216)
Unique sites:
Y1 0.0000 0.0000 0.0000 x4
Cu1 0.2500 0.2500 0.7500 x4
Tc1 0.1242 0.1242 0.3758 x16

Computed properties:
The total energy is -202.79 eV for the cell shown. Its formation energy from the elements is 0.2213 eV per atom.

=====

This record from the Alexandria database describes an optimized crystal structure of YCu2Tc. The functional is PBE.

Cell: 4.1740 4.1740 17.8407 Å, 90.00 90.00 90.00°
Space group I-42d (No. 122)
Unique sites:
Y1 0.0000 0.0000 0.0000 x4
Cu1 0.1359 0.2500 0.6250 x8
Tc1 0.0000 0.0000 0.5000 x4

Computed properties:
The total energy is -91.55 eV for the cell shown. Its energy above the lowest structure with this stoichiometry is 406.1 meV per atom. Its formation energy from the elements is 0.5335 eV per atom.

=====

This record from the Alexandria database describes an optimized crystal structure of YCuTc3. The functional is PBE.

Cell: 4.5636 4.5636 4.5636 Å, 90.00 90.00 90.00°
Space group Pm-3m (No. 221)
Unique sites:
Y1 0.0000 0.0000 0.0000 x1
Cu1 0.5000 0.5000 0.5000 x1
Tc1 0.0000 0.5000 0.5000 x3

Computed properties:
The total energy is -35.94 eV for the cell shown. Its energy above the lowest structure with this stoichiometry is 0.0 meV per atom. Its formation energy from the elements is 1.1442 eV per atom.

=====

This record from the Alexandria database describes an optimized crystal structure of ZnCuTc2. The functional is PBE.

Cell: 2.5816 2.5816 8.3348 Å, 90.00 90.00 90.00°
Space group P4/mmm (No. 123)
Unique sites:
Zn1 0.0000 0.0000 0.0000 x1
Cu1 0.0000 0.0000 0.5000 x1
Tc1 0.5000 0.5000 0.2552 x2

Computed properties:
The total energy is -25.17 eV for the cell shown. Its formation energy from the elements is 0.2328 eV per atom.

=====

This record from the Alexandria database describes an optimized crystal structure of ZnCuTc3. The functional is PBE.

Cell: 4.4636 4.4636 4.4636 Å, 90.00 90.00 90.00°
Space group Pm-3m (No. 221)
Unique sites:
Zn1 0.0000 0.0000 0.0000 x1
Cu1 0.5000 0.5000 0.5000 x1
Tc1 0.0000 0.5000 0.5000 x3

Computed properties:
The total energy is -28.03 eV for the cell shown. Its energy above the lowest structure with this stoichiometry is 0.0 meV per atom. Its formation energy from the elements is 1.6874 eV per atom.

=====

This record from the Alexandria database describes an optimized crystal structure of Zn2CuTc2. The functional is PBE.

Cell: 6.0227 6.0227 3.9327 Å, 90.00 90.00 90.00°
Space group P4/mbm (No. 127)
Unique sites:
Zn1 0.1416 0.3584 0.0000 x4
Cu1 0.0000 0.0000 0.0000 x2
Tc1 0.1577 0.6577 0.5000 x4

Computed properties:
The total energy is -50.59 eV for the cell shown. Its formation energy from the elements is 0.4160 eV per atom.